# 1
CdH3Rh: optimized geometry, PBE.

Cell: 5.547 5.547 5.547 Å, 51.60 51.60 51.60°
Element x y z (fractional)
Cd  0.107  0.107  0.107
Cd  0.893  0.893  0.893
H  0.120  0.551  0.540
H  0.449  0.460  0.880
H  0.460  0.880  0.449
H  0.540  0.120  0.551
H  0.551  0.540  0.120
H  0.880  0.449  0.460
Rh  0.303  0.303  0.303
Rh  0.697  0.697  0.697

Values from the calculation:
* DFT total energy: -3.670 eV/atom

# 2
CdH3Rh: optimized geometry, PBE.

Cell: 4.769 4.986 5.106 Å, 84.13 89.12 63.17°
Element x y z (fractional)
Cd  0.237  0.038  0.280
Cd  0.763  0.962  0.720
H  0.218  0.941  0.857
H  0.242  0.566  0.470
H  0.308  0.446  0.000
H  0.692  0.554  0.000
H  0.758  0.434  0.530
H  0.782  0.059  0.143
Rh  0.434  0.627  0.735
Rh  0.566  0.373  0.265

Values from the calculation:
* DFT total energy: -3.665 eV/atom

# 3
CdH3Rh: optimized geometry, PBE.

Cell: 4.793 4.800 5.156 Å, 66.75 66.67 71.31°
Element x y z (fractional)
Cd  0.000  0.000  0.000
Cd  0.231  0.232  0.337
H  0.165  0.551  0.865
H  0.318  0.591  0.449
H  0.640  0.913  0.889
H  0.646  0.482  0.874
H  0.681  0.067  0.472
H  0.747  0.588  0.464
Rh  0.499  0.308  0.724
Rh  0.924  0.733  0.613

Values from the calculation:
* DFT total energy: -3.690 eV/atom

# 4
CdH3Rh: optimized geometry, PBE.

Cell: 5.566 2.927 6.130 Å, 90.00 102.59 90.00°
Element x y z (fractional)
Cd  0.239  0.250  0.308
Cd  0.761  0.750  0.692
H  0.037  0.250  0.760
H  0.288  0.750  0.637
H  0.346  0.750  0.987
H  0.654  0.250  0.013
H  0.712  0.250  0.363
H  0.963  0.750  0.240
Rh  0.350  0.250  0.804
Rh  0.650  0.750  0.196

Values from the calculation:
* DFT total energy: -3.637 eV/atom

# 5
CdHRh: optimized geometry, PBE.

Cell: 5.947 5.947 4.219 Å, 90.23 90.23 93.65°
Element x y z (fractional)
Cd  0.129  0.871  0.750
Cd  0.371  0.629  0.250
Cd  0.629  0.371  0.750
Cd  0.871  0.129  0.250
H  0.191  0.308  0.129
H  0.308  0.191  0.629
H  0.692  0.809  0.371
H  0.809  0.692  0.871
Rh  0.120  0.380  0.750
Rh  0.380  0.120  0.250
Rh  0.620  0.880  0.750
Rh  0.880  0.620  0.250

Values from the calculation:
* DFT total energy: -3.954 eV/atom

# 6
CdHRh: optimized geometry, PBE.

Cell: 3.099 3.099 4.510 Å, 90.00 90.00 120.00°
Element x y z (fractional)
Cd  0.000  0.000  0.000
H  0.333  0.667  0.500
Rh  0.667  0.333  0.500

Values from the calculation:
* DFT total energy: -4.017 eV/atom

# 7
CdH6Rh3: optimized geometry, PBE.

Cell: 5.161 5.161 5.161 Å, 55.29 55.29 55.29°
Element x y z (fractional)
Cd  0.000  0.000  0.000
H  0.024  0.537  0.508
H  0.204  0.550  0.819
H  0.508  0.024  0.537
H  0.537  0.508  0.024
H  0.550  0.819  0.204
H  0.819  0.204  0.550
Rh  0.211  0.211  0.211
Rh  0.434  0.434  0.434
Rh  0.787  0.787  0.787

Values from the calculation:
* DFT total energy: -4.272 eV/atom

# 8
CdH3Rh: optimized geometry, PBE.

Cell: 7.930 7.930 4.324 Å, 90.00 90.00 153.33°
Element x y z (fractional)
Cd  0.088  0.912  0.750
Cd  0.912  0.088  0.250
H  0.181  0.561  0.750
H  0.439  0.819  0.750
H  0.500  0.500  0.000
H  0.500  0.500  0.500
H  0.561  0.181  0.250
H  0.819  0.439  0.250
Rh  0.415  0.585  0.750
Rh  0.585  0.415  0.250

Values from the calculation:
* DFT total energy: -3.571 eV/atom

# 9
CdH4Rh: optimized geometry, PBE.

Cell: 5.293 5.293 4.850 Å, 90.15 90.15 56.99°
Element x y z (fractional)
Cd  0.229  0.229  0.264
Cd  0.771  0.771  0.736
H  0.167  0.621  0.986
H  0.247  0.247  0.697
H  0.276  0.724  0.500
H  0.379  0.833  0.014
H  0.621  0.167  0.986
H  0.724  0.276  0.500
H  0.753  0.753  0.303
H  0.833  0.379  0.014
Rh  0.418  0.418  0.748
Rh  0.582  0.582  0.252

Values from the calculation:
* relative energy among the computed polymorphs: 0.15 eV/f.u.
* DFT total energy: -3.557 eV/atom

# 10
Cd3H3Rh2: optimized geometry, PBE.

Cell: 5.595 5.595 11.355 Å, 90.00 90.00 143.59°
Element x y z (fractional)
Cd  0.070  0.930  0.609
Cd  0.070  0.930  0.891
Cd  0.404  0.596  0.750
Cd  0.596  0.404  0.250
Cd  0.930  0.070  0.109
Cd  0.930  0.070  0.391
H  0.278  0.722  0.250
H  0.297  0.703  0.546
H  0.297  0.703  0.954
H  0.703  0.297  0.046
H  0.703  0.297  0.454
H  0.722  0.278  0.750
Rh  0.221  0.779  0.103
Rh  0.221  0.779  0.397
Rh  0.779  0.221  0.603
Rh  0.779  0.221  0.897

Values from the calculation:
* DFT total energy: -3.494 eV/atom

# 11
CdHRh: optimized geometry, PBE.

Cell: 5.395 5.329 5.921 Å, 90.00 119.18 90.00°
Element x y z (fractional)
Cd  0.159  0.150  0.385
Cd  0.159  0.350  0.885
Cd  0.841  0.650  0.115
Cd  0.841  0.850  0.615
H  0.381  0.597  0.320
H  0.381  0.903  0.820
H  0.619  0.097  0.180
H  0.619  0.403  0.680
Rh  0.348  0.656  0.606
Rh  0.348  0.844  0.106
Rh  0.652  0.156  0.894
Rh  0.652  0.344  0.394

Values from the calculation:
* DFT total energy: -4.003 eV/atom

# 12
CdH3Rh: optimized geometry, PBE.

Cell: 4.604 10.474 4.516 Å, 90.00 90.00 90.00°
Element x y z (fractional)
Cd  0.000  0.000  0.000
Cd  0.000  0.500  0.000
Cd  0.500  0.000  0.500
Cd  0.500  0.500  0.500
H  0.053  0.166  0.281
H  0.053  0.334  0.281
H  0.074  0.250  0.751
H  0.426  0.750  0.251
H  0.447  0.666  0.781
H  0.447  0.834  0.781
H  0.553  0.166  0.219
H  0.553  0.334  0.219
H  0.574  0.250  0.749
H  0.926  0.750  0.249
H  0.947  0.666  0.719
H  0.947  0.834  0.719
Rh  0.177  0.750  0.971
Rh  0.323  0.250  0.471
Rh  0.677  0.750  0.529
Rh  0.823  0.250  0.029

Values from the calculation:
* DFT total energy: -3.599 eV/atom